No. 1
Entry from Alexandria via LeMat-Bulk: AcNdHoHg after structural relaxation (PBE).

```
data_AcNdHoHg
_symmetry_space_group_name_H-M 'P 1'
_symmetry_Int_Tables_number 1
_cell_length_a 5.631
_cell_length_b 5.631
_cell_length_c 5.631
_cell_angle_alpha 60.00
_cell_angle_beta 60.00
_cell_angle_gamma 60.00
loop_
_symmetry_equiv_pos_as_xyz
'x,y,z'
loop_
_atom_site_label
_atom_site_type_symbol
_atom_site_fract_x
_atom_site_fract_y
_atom_site_fract_z
_atom_site_occupancy
Hg1 Hg 0.250 0.250 0.250 1
Ac1 Ac 0.750 0.750 0.750 1
Nd1 Nd 0.000 0.000 0.000 1
Ho1 Ho 0.500 0.500 0.500 1
```

## Properties
* DFT total energy: -3.406 eV per atom
* energy of formation: 33 meV per atom
* ρ: 9.7 g cm⁻³

=====

No. 2
Entry from Alexandria via LeMat-Bulk: AcHoNiHg after structural relaxation (PBE).

```
data_AcHoNiHg
_symmetry_space_group_name_H-M 'P 1'
_symmetry_Int_Tables_number 1
_cell_length_a 5.290
_cell_length_b 5.290
_cell_length_c 5.290
_cell_angle_alpha 60.00
_cell_angle_beta 60.00
_cell_angle_gamma 60.00
loop_
_symmetry_equiv_pos_as_xyz
'x,y,z'
loop_
_atom_site_label
_atom_site_type_symbol
_atom_site_fract_x
_atom_site_fract_y
_atom_site_fract_z
_atom_site_occupancy
Ho1 Ho 0.500 0.500 0.500 1
Ni1 Ni 0.250 0.250 0.250 1
Hg1 Hg 0.750 0.750 0.750 1
Ac1 Ac 0.000 0.000 0.000 1
```

## Properties
* DFT total energy: -3.925 eV per atom
* energy of formation: -233 meV per atom
* ρ: 10.3 g cm⁻³

=====

No. 3
Entry from Alexandria via LeMat-Bulk: AcHoHgO4 after structural relaxation (PBE).

```
data_AcHoHgO4
_symmetry_space_group_name_H-M 'P 1'
_symmetry_Int_Tables_number 1
_cell_length_a 6.918
_cell_length_b 7.164
_cell_length_c 7.164
_cell_angle_alpha 63.10
_cell_angle_beta 61.13
_cell_angle_gamma 61.13
loop_
_symmetry_equiv_pos_as_xyz
'x,y,z'
loop_
_atom_site_label
_atom_site_type_symbol
_atom_site_fract_x
_atom_site_fract_y
_atom_site_fract_z
_atom_site_occupancy
O1 O 0.755 0.792 0.698 1
Ho1 Ho 0.000 0.000 0.500 1
O2 O 0.257 0.228 0.728 1
O3 O 0.245 0.208 0.302 1
Hg1 Hg 0.614 0.636 0.136 1
O4 O 0.214 0.772 0.272 1
Ac1 Ac 0.000 0.000 0.000 1
Ho2 Ho 0.500 0.000 0.500 1
Hg2 Hg 0.386 0.364 0.864 1
O5 O 0.743 0.772 0.272 1
O6 O 0.245 0.802 0.708 1
O7 O 0.755 0.198 0.292 1
Ac2 Ac 0.000 0.500 0.500 1
O8 O 0.786 0.228 0.728 1
```

## Properties
* DFT total energy: -6.512 eV per atom
* formation energy without anion corrections: -2.39 eV/atom
* ρ: 8.4 g cm⁻³